# 1
Below is an optimized crystal structure of K2PtAu, with properties calculated at the PBE level.

DOS(E_F), states/eV/atom: 0.443
Excess energy over the best structure of this formula in the dataset, eV/atom: 0.1039

Cell: 6.3509 6.3509 5.9330 Å, 75.83 75.83 26.88°
Fractional coordinates of all 4 atoms:
Au (0.7937, 0.7937, 0.7731)
K (0.0259, 0.0259, 0.9366)
K (0.2183, 0.2183, 0.3233)
Pt (0.4621, 0.4621, 0.4670)

---

# 2
Below is an optimized crystal structure of La2Tb7Sc, with properties calculated at the PBE level.

DOS(E_F), states/eV/atom: 1.691
Electronic total energy, eV/atom: -4.688

Cell: 3.4588 14.7740 14.7740 Å, 154.21 90.00 90.00°
Fractional coordinates of all 10 atoms:
La (0.5000, 0.7049, 0.2951)
La (0.5000, 0.2951, 0.7049)
Tb (0.0000, 0.8162, 0.1838)
Tb (0.0000, 0.1838, 0.8162)
Tb (0.5000, 0.1465, 0.3361)
Tb (0.5000, 0.8535, 0.6639)
Tb (0.5000, 0.3361, 0.1465)
Tb (0.5000, 0.6639, 0.8535)
Tb (0.5000, 0.5000, 0.5000)
Sc (0.0000, 0.0000, 0.0000)

---

# 3
Below is an optimized crystal structure of HgPd, with properties calculated at the PBE level.

DOS(E_F), states/eV/atom: 0.376
Electronic total energy, eV/atom: -2.786

Cell: 8.3666 8.3666 4.5275 Å, 90.00 90.00 120.00°
Fractional coordinates of all 12 atoms:
Hg (0.8007, 0.6014, 0.2500)
Hg (0.1993, 0.8007, 0.7500)
Hg (0.3986, 0.1993, 0.2500)
Hg (0.1993, 0.3986, 0.7500)
Hg (0.8007, 0.1993, 0.2500)
Hg (0.6014, 0.8007, 0.7500)
Pd (0.4451, 0.8902, 0.2500)
Pd (0.5549, 0.4451, 0.7500)
Pd (0.1098, 0.5549, 0.2500)
Pd (0.5549, 0.1098, 0.7500)
Pd (0.4451, 0.5549, 0.2500)
Pd (0.8902, 0.4451, 0.7500)

---

# 4
Below is an optimized crystal structure of TlAuSe2, with properties calculated at the PBE level.

DOS(E_F), states/eV/atom: 0.171
E_form (uncorrected), eV/atom: -0.195

Cell: 3.7258 4.5848 6.9419 Å, 89.88 90.00 90.00°
Fractional coordinates of all 4 atoms:
Au (0.5000, 0.7500, 0.7500)
Se (0.0000, 0.7503, 0.9936)
Se (0.0000, 0.7497, 0.5064)
Tl (0.5000, 0.2500, 0.2500)

---

# 5
Below is an optimized crystal structure of RbReGeO6, with properties calculated at the PBE level.

E_form (uncorrected), eV/atom: -1.612

Cell: 5.1672 5.1672 6.3527 Å, 90.00 90.00 60.00°
Fractional coordinates of all 9 atoms:
Rb (0.0000, 0.0000, 0.0000)
Re (0.6666, 0.6667, 0.4999)
Ge (0.3333, 0.3333, 0.5001)
O (0.9964, 0.3997, 0.3296)
O (0.3997, 0.9964, 0.6704)
O (0.6039, 0.3998, 0.6704)
O (0.9963, 0.6039, 0.6704)
O (0.3997, 0.6039, 0.3296)
O (0.6039, 0.9964, 0.3296)

---

# 6
Below is an optimized crystal structure of GaTcRu2, with properties calculated at the PBE level.

DOS(E_F), states/eV/atom: 1.273
Electronic total energy, eV/atom: -8.022

Cell: 2.7859 2.7859 8.6785 Å, 80.76 80.76 60.00°
Fractional coordinates of all 4 atoms:
Ru (0.7498, 0.7498, 0.7506)
Ru (0.2502, 0.2502, 0.2494)
Tc (0.5000, 0.5000, 0.5000)
Ga (0.0000, 0.0000, 0.0000)